Density functional theory data (PBE) for a relaxed structure of AgSb2Te2.

Results
For the total energy, the calculation gives -3.238 eV per atom. Its offset from the most stable computed form is 111 meV per atom. The magnetic moment is 0.000 μB per atom. As for the raw formation energy: 238 meV/atom. The calculation puts the mass density at 6.87 g cm⁻³. As for the space group: P4/mbm.

Unit cell a=8.2233 b=8.2233 c=4.3355 alpha=90.00 beta=90.00 gamma=90.00
Positions (direct):
Sb (0.1351, 0.6351, 0.5000)
Sb (0.8649, 0.3649, 0.5000)
Ag (0.0000, 0.0000, 0.0000)
Te (0.6814, 0.1814, 0.0000)
Te (0.3186, 0.8186, 0.0000)
Te (0.8186, 0.6814, 0.0000)
Ag (0.5000, 0.5000, 0.0000)
Sb (0.3649, 0.1351, 0.5000)
Sb (0.6351, 0.8649, 0.5000)
Te (0.1814, 0.3186, 0.0000)

Density functional theory data (PBE) for a relaxed structure of Ho4InAu2.

Results
For the total energy, the calculation gives -4.398 eV per atom. The magnetic moment is 0.000 μB per atom. Its energy of formation from the pure elements is -0.455 eV/atom. The calculation puts the mass density at 9.84 g cm⁻³. As for the space group: R-3m.

Unit cell a=4.8756 b=4.8756 c=9.9810 alpha=75.86 beta=75.86 gamma=60.00
Positions (direct):
Ho (0.2031, 0.2031, 0.3906)
Ho (0.7969, 0.7969, 0.6094)
Ho (0.3825, 0.3825, 0.8525)
Ho (0.6175, 0.6175, 0.1475)
In (0.0000, 0.0000, 0.0000)
Au (0.1013, 0.1013, 0.6962)
Au (0.8987, 0.8987, 0.3038)

Density functional theory data (PBE) for a relaxed structure of PmY4Pu3S8.

Results
For the total energy, the calculation gives -8.606 eV per atom. The magnetic moment is 1.079 μB per atom. As for the raw formation energy: -1942 meV/atom. The calculation puts the mass density at 7.11 g cm⁻³. As for the space group: R-3m.

Unit cell a=7.8760 b=7.9108 c=7.8764 alpha=119.85 beta=120.00 gamma=90.00
Each line ends with the local moment (μB).
Positions (direct):
Pu (0.0000, 0.5000, 0.5000)  5.37
Y (0.5000, 0.0000, 0.5000)  0.01
S (0.7487, 0.7554, 0.0020)  -0.03
S (0.2533, 0.7554, 0.0020)  -0.03
S (0.2513, 0.2446, 0.9980)  -0.03
S (0.7467, 0.2446, 0.9980)  -0.03
Y (0.0000, 0.0000, 0.5000)  0.01
S (0.7467, 0.2446, 0.4933)  -0.03
S (0.2493, 0.2478, 0.4986)  -0.06
S (0.7507, 0.7522, 0.5014)  -0.06
Pu (0.5000, 0.5000, 0.5000)  5.37
Pm (0.0000, 0.5000, 0.0000)  0.07
Y (0.0000, 0.0000, 0.0000)  0.01
S (0.2533, 0.7554, 0.5067)  -0.03
Y (0.5000, 0.0000, 0.0000)  0.05
Pu (0.5000, 0.5000, 0.0000)  5.37

Q: What is the formula in the first record?
A: AgSb2Te2

Q: Among the records above, which one has the highest mass density?
A: Ho4InAu2

Q: The highest mass density belongs to which entry?
A: Ho4InAu2